Run P
Compound: MoHRuRh2
Source: Alexandria
Functional: GGA-PBE
Structure: relaxed

## Properties
Density (g/cm³): 11.2
V (Å³/cell): 60.0
M_tot (Bohr magnetons per cell): 0.00
SG: P4/mmm (123)

```
MoHRuRh2
1.0
3.844 0.000 0.000
0.000 3.844 0.000
0.000 0.000 4.060
Ru Mo Rh H
1 1 2 1
direct
0.500 0.500 0.500
0.000 0.000 0.500
0.000 0.500 0.000
0.500 0.000 0.000
0.000 0.000 0.000
```

***

Run Q
Compound: MoHRuRh2
Source: Alexandria
Functional: GGA-PBE
Structure: relaxed

## Properties
Density (g/cm³): 11.2
V (Å³/cell): 59.8
M_tot (Bohr magnetons per cell): 0.00
SG: P4/mmm (123)

```
MoHRuRh2
1.0
3.874 0.000 0.000
0.000 3.874 0.000
0.000 0.000 3.987
Ru Mo Rh H
1 1 2 1
direct
0.000 0.000 0.500
0.500 0.500 0.500
0.000 0.500 0.000
0.500 0.000 0.000
0.000 0.000 0.000
```

***

Quick one: most stable of them? run Q

***

Run P
Compound: Ta2MoHRh
Source: Alexandria
Functional: GGA-PBE
Structure: relaxed

## Properties
Density (g/cm³): 13.6
V (Å³/cell): 68.8
M_tot (Bohr magnetons per cell): 0.00
SG: P4/mmm (123)

```
Ta2MoHRh
1.0
4.351 0.000 0.000
0.000 4.351 0.000
0.000 0.000 3.634
H Mo Rh Ta
1 1 1 2
direct
0.000 0.000 0.000
0.000 0.000 0.500
0.500 0.500 0.500
0.000 0.500 0.000
0.500 0.000 0.000
```

***

Run Q
Compound: Ta2MoHRh
Source: Alexandria
Functional: GGA-PBE
Structure: relaxed

## Properties
Density (g/cm³): 13.6
V (Å³/cell): 68.6
M_tot (Bohr magnetons per cell): 0.00
SG: P4/mmm (123)

```
Ta2MoHRh
1.0
4.424 0.000 0.000
0.000 4.424 0.000
0.000 0.000 3.507
H Mo Rh Ta
1 1 1 2
direct
0.000 0.000 0.000
0.500 0.500 0.500
0.000 0.000 0.500
0.000 0.500 0.000
0.500 0.000 0.000
```

***

Quick one: most stable of them? run Q

***

Run P
Compound: TcMoHRh2
Source: Alexandria
Functional: GGA-PBE
Structure: relaxed

## Properties
Density (g/cm³): 11.0
V (Å³/cell): 60.5
M_tot (Bohr magnetons per cell): 0.00
SG: P4/mmm (123)

```
TcMoHRh2
1.0
3.850 0.000 0.000
0.000 3.850 0.000
0.000 0.000 4.080
H Mo Rh Tc
1 1 2 1
direct
0.000 0.000 0.000
0.000 0.000 0.500
0.000 0.500 0.000
0.500 0.000 0.000
0.500 0.500 0.500
```

***

Run Q
Compound: TcMoHRh2
Source: Alexandria
Functional: GGA-PBE
Structure: relaxed

## Properties
Density (g/cm³): 11.0
V (Å³/cell): 60.3
M_tot (Bohr magnetons per cell): 0.00
SG: P4/mmm (123)

```
TcMoHRh2
1.0
3.862 0.000 0.000
0.000 3.862 0.000
0.000 0.000 4.045
H Mo Rh Tc
1 1 2 1
direct
0.000 0.000 0.000
0.500 0.500 0.500
0.000 0.500 0.000
0.500 0.000 0.000
0.000 0.000 0.500
```

***

Quick one: most stable of them? run Q

***

Run P
Compound: TiMoHRh2
Source: Alexandria
Functional: GGA-PBE
Structure: relaxed

## Properties
Density (g/cm³): 9.4
V (Å³/cell): 61.8
M_tot (Bohr magnetons per cell): 0.00
SG: P4/mmm (123)

```
TiMoHRh2
1.0
-1.074 -2.376 -2.935
-2.571 -1.774 2.378
-2.823 2.627 -1.093
H Mo Rh Ti
1 1 2 1
direct
0.000 0.000 0.000
0.000 0.000 0.500
0.000 0.500 0.000
0.500 0.000 0.000
0.500 0.500 0.500
```

***

Run Q
Compound: TiMoHRh2
Source: Alexandria
Functional: GGA-PBE
Structure: relaxed

## Properties
Density (g/cm³): 9.5
V (Å³/cell): 61.3
M_tot (Bohr magnetons per cell): 0.00
SG: P4/mmm (123)

```
TiMoHRh2
1.0
-0.407 -2.969 -2.519
2.617 1.667 -2.387
2.947 -1.975 1.852
H Mo Rh Ti
1 1 2 1
direct
0.000 0.000 0.000
0.500 0.500 0.500
0.000 0.500 0.000
0.500 0.000 0.000
0.000 0.000 0.500
```

***

Quick one: most stable of them? run Q

***

Run P
Compound: VMo2HRh
Source: Alexandria
Functional: GGA-PBE
Structure: relaxed

## Properties
Density (g/cm³): 9.4
V (Å³/cell): 61.5
M_tot (Bohr magnetons per cell): 0.00
SG: P4/mmm (123)

```
VMo2HRh
1.0
3.952 0.000 0.000
0.000 3.952 0.000
0.000 0.000 3.937
H Mo Rh V
1 2 1 1
direct
0.000 0.000 0.000
0.000 0.500 0.000
0.500 0.000 0.000
0.500 0.500 0.500
0.000 0.000 0.500
```

***

Run Q
Compound: VMo2HRh
Source: Alexandria
Functional: GGA-PBE
Structure: relaxed

## Properties
Density (g/cm³): 9.3
V (Å³/cell): 61.9
M_tot (Bohr magnetons per cell): 0.00
SG: P4/mmm (123)

```
VMo2HRh
1.0
3.950 0.000 0.000
0.000 3.950 0.000
0.000 0.000 3.965
H Mo Rh V
1 2 1 1
direct
0.000 0.000 0.000
0.000 0.500 0.000
0.500 0.000 0.000
0.000 0.000 0.500
0.500 0.500 0.500
```

***

Quick one: most stable of them? run P

***

Run P
Compound: Mo2HRhW
Source: Alexandria
Functional: GGA-PBE
Structure: relaxed

## Properties
Density (g/cm³): 12.4
V (Å³/cell): 64.0
M_tot (Bohr magnetons per cell): 0.00
SG: P4/mmm (123)

```
Mo2HRhW
1.0
3.986 0.000 0.000
0.000 3.986 0.000
0.000 0.000 4.029
H Mo Rh W
1 2 1 1
direct
0.000 0.000 0.000
0.000 0.500 0.000
0.500 0.000 0.000
0.500 0.500 0.500
0.000 0.000 0.500
```

***

Run Q
Compound: Mo2HRhW
Source: Alexandria
Functional: GGA-PBE
Structure: relaxed

## Properties
Density (g/cm³): 12.5
V (Å³/cell): 63.9
M_tot (Bohr magnetons per cell): 0.00
SG: P4/mmm (123)

```
Mo2HRhW
1.0
4.027 0.000 0.000
0.000 4.027 0.000
0.000 0.000 3.940
H Mo Rh W
1 2 1 1
direct
0.000 0.000 0.000
0.000 0.500 0.000
0.500 0.000 0.000
0.000 0.000 0.500
0.500 0.500 0.500
```

***

Quick one: most stable of them? run Q